1.
# CaFeSe3 | the Alexandria database | GGA-PBE | optimized geometry
data_CaFeSe3
_space_group_name_H-M_alt 'P m -3 m'
_space_group_IT_number 221
_space_group_name_Hall '-P 4 2 3'
_cell_length_a 4.7848
_cell_length_b 4.7848
_cell_length_c 4.7848
_cell_angle_alpha 90.00
_cell_angle_beta 90.00
_cell_angle_gamma 90.00
loop_
_atom_site_label
_atom_site_fract_x
_atom_site_fract_y
_atom_site_fract_z
Ca1 0.0000 0.0000 0.0000
Fe1 0.5000 0.5000 0.5000
Se1 0.0000 0.5000 0.5000
# Crystal system   cubic
# ρ   5.04 g cm⁻³
# Polymorph energy (0 for the lowest one)   0.0 meV per atom
# Calculated total energy   -0.169 hartree per atom
# Spin magnetization   0.000 μB per formula unit



2.
# ScCo3Te | the Alexandria database | GGA-PBE | optimized geometry
data_ScCo3Te
_space_group_name_H-M_alt 'P m -3 m'
_space_group_IT_number 221
_space_group_name_Hall '-P 4 2 3'
_cell_length_a 4.4885
_cell_length_b 4.4885
_cell_length_c 4.4885
_cell_angle_alpha 90.00
_cell_angle_beta 90.00
_cell_angle_gamma 90.00
loop_
_atom_site_label
_atom_site_fract_x
_atom_site_fract_y
_atom_site_fract_z
Sc1 0.0000 0.0000 0.0000
Co1 0.0000 0.0000 0.5000
Te1 0.5000 0.5000 0.5000
# Crystal system   cubic
# ρ   6.42 g cm⁻³
# Polymorph energy (0 for the lowest one)   481.9 meV per atom
# Calculated total energy   -0.184 hartree per atom
# Spin magnetization   2.712 μB per formula unit



3.
# NaTl8Sn4 | the Alexandria database | GGA-PBE | optimized geometry
data_NaTl8Sn4
_space_group_name_H-M_alt 'I 4/m m m'
_space_group_IT_number 139
_space_group_name_Hall '-I 4 2'
_cell_length_a 11.4628
_cell_length_b 11.4628
_cell_length_c 6.2329
_cell_angle_alpha 90.00
_cell_angle_beta 90.00
_cell_angle_gamma 90.00
loop_
_atom_site_label
_atom_site_fract_x
_atom_site_fract_y
_atom_site_fract_z
Na1 0.0000 0.0000 0.0000
Tl1 0.0000 0.2049 0.5000
Tl2 0.0000 0.3537 0.0000
Sn1 0.2500 0.2500 0.2500
# Crystal system   tetragonal
# ρ   8.65 g cm⁻³
# Calculated total energy   -0.101 hartree per atom
# Spin magnetization   0.000 μB per formula unit



4.
# Ta2InSn2 | the Alexandria database | GGA-PBE | optimized geometry
data_Ta2InSn2
_space_group_name_H-M_alt 'P 4/m b m'
_space_group_IT_number 127
_space_group_name_Hall '-P 4 2ab'
_cell_length_a 7.5649
_cell_length_b 7.5649
_cell_length_c 3.8108
_cell_angle_alpha 90.00
_cell_angle_beta 90.00
_cell_angle_gamma 90.00
loop_
_atom_site_label
_atom_site_fract_x
_atom_site_fract_y
_atom_site_fract_z
Ta1 0.1307 0.3693 0.0000
In1 0.0000 0.0000 0.0000
Sn1 0.1631 0.6631 0.5000
# Crystal system   tetragonal
# ρ   10.88 g cm⁻³
# Calculated total energy   -0.245 hartree per atom
# Spin magnetization   0.000 μB per formula unit



5.
# Ac4Pd2O | the Alexandria database | GGA-PBE | optimized geometry
data_Ac4Pd2O
_space_group_name_H-M_alt 'I 4/m m m'
_space_group_IT_number 139
_space_group_name_Hall '-I 4 2'
_cell_length_a 5.1644
_cell_length_b 5.1644
_cell_length_c 15.5922
_cell_angle_alpha 90.00
_cell_angle_beta 90.00
_cell_angle_gamma 90.00
loop_
_atom_site_label
_atom_site_fract_x
_atom_site_fract_y
_atom_site_fract_z
Ac1 0.0000 0.0000 0.1920
Ac2 0.0000 0.5000 0.0000
Pd1 0.0000 0.0000 0.3808
O1 0.0000 0.0000 0.0000
# Crystal system   tetragonal
# ρ   9.08 g cm⁻³
# Calculated total energy   -0.208 hartree per atom
# Spin magnetization   0.000 μB per formula unit



6.
# AgAsBr2 | the Alexandria database | GGA-PBE | optimized geometry
data_AgAsBr2
_space_group_name_H-M_alt 'C m m 2'
_space_group_IT_number 35
_space_group_name_Hall 'C 2 -2'
_cell_length_a 3.9772
_cell_length_b 6.1749
_cell_length_c 8.9311
_cell_angle_alpha 90.00
_cell_angle_beta 90.00
_cell_angle_gamma 90.00
loop_
_atom_site_label
_atom_site_fract_x
_atom_site_fract_y
_atom_site_fract_z
Ag1 0.0000 0.0000 0.0000
As1 0.0000 0.5000 0.1915
Br1 0.0000 0.0000 0.4151
Br2 0.0000 0.5000 0.8116
# Crystal system   orthorhombic
# ρ   5.19 g cm⁻³
# Polymorph energy (0 for the lowest one)   252.4 meV per atom
# Calculated total energy   -0.095 hartree per atom
# Spin magnetization   0.000 μB per formula unit